# Zr4In, relaxed, DFT PBE
data_Zr4In
_chemical_formula_sum 'Zr4 In1'
_space_group_name_H-M_alt 'P 1'
_space_group_IT_number 1
_cell_length_a 5.267
_cell_length_b 5.267
_cell_length_c 5.267
_cell_angle_alpha 90.00
_cell_angle_beta 90.00
_cell_angle_gamma 90.00
loop_
_space_group_symop_operation_xyz
'x,y,z'
loop_
_atom_site_label
_atom_site_type_symbol
_atom_site_fract_x
_atom_site_fract_y
_atom_site_fract_z
Zr1 Zr 0.000 0.500 0.500
Zr2 Zr 0.500 0.000 0.500
Zr3 Zr 0.000 0.000 0.000
Zr4 Zr 0.500 0.500 0.000
In1 In 0.500 0.500 0.500
# Space-group type: Pm-3m
# Energy relative to the lowest polymorph listed for this composition (meV per atom): 1163
# Calculated formation energy (meV per atom): 1070.4
# Crystal system: cubic
# Uncorrected energy (eV/f.u.): -31.6
# D(E_F) (states/eV/cell): 8.620